Here is a relaxed structure of K3Y3BiS8 from the Alexandria database. Energies are from PBE.

Cell: 8.0550 8.0550 22.4987 Å, 90.00 90.00 120.00°
Closest atoms and distances in Å follow each position.
Space group R-3m (No. 166, hexagonal axes)
Asymmetric unit:
K 0.0000 0.5000 0.0000  6 S 3.23-3.24
Y 0.0000 0.5000 0.5000  6 S 2.77
Bi 0.0000 0.0000 0.5000  6 S 2.77
S 0.0000 0.0000 0.2332  3 Y 2.77
S 0.0003 0.5002 0.2334  1 Bi 2.77, 2 Y 2.77

Values from the calculation:
Raw total energy in eV/cell: -247.659
M_tot in Bohr magnetons per cell: 0.0